Entry 1:
Compound: Tl3Sn8Hg
Source: the Alexandria database
Functional: GGA-PBE
Structure: optimized geometry

```
12
Lattice="-4.8676 1.9409 3.6802 -1.1182 -2.0849 -5.9505 -1.1037 -9.4183 3.5073" Properties=species:S:1:pos:R:3 pbc="T T T"
Sn -2.0039 -3.8126 -3.5056
Sn -4.5079 -2.8142 -1.6124
Sn -3.2924 -6.1046 4.4358
Sn -1.4287 -2.7401 -0.4446
Sn -3.8370 -7.1201 1.5375
Sn -2.9217 -5.4677 -0.9808
Sn -2.3715 -0.7728 -2.7291
Sn -6.2079 -6.1747 3.3300
Tl -3.6931 -0.0433 0.7092
Tl -4.0966 -3.4868 1.9915
Tl -1.0159 -8.6689 3.2283
Hg -0.6228 -5.3151 1.9793
```

Summary:
* magnetization: 0.0 μB per formula unit

Entry 2:
Compound: Tl2Sn4Hg5
Source: the Alexandria database
Functional: GGA-PBE
Structure: optimized geometry

```
11
Lattice="3.1807 0.0000 -0.5019 -0.6005 9.9525 -3.8055 0.1238 -1.4649 11.1139" Properties=species:S:1:pos:R:3 pbc="T T T"
Sn -0.4350 7.2094 -2.7566
Sn 1.1793 2.9287 7.4732
Sn 1.5247 5.5590 -0.6668
Sn -0.1655 2.7432 -1.0489
Tl 1.9972 6.7323 2.3272
Tl 0.7068 1.7554 4.4792
Hg 2.3936 4.9896 4.8394
Hg 1.5903 0.0000 -0.2510
Hg -0.0039 8.7070 -0.0247
Hg 2.7079 -0.2194 6.8311
Hg 0.3104 3.4981 1.9671
```

Summary:
* magnetization: 0.0 μB per formula unit

Entry 3:
Compound: TlSnHg2
Source: the Alexandria database
Functional: GGA-PBE
Structure: optimized geometry

```
8
Lattice="-1.2042 3.6231 2.9713 -4.4039 0.8134 -2.7766 -1.8352 -6.4457 7.1157" Properties=species:S:1:pos:R:3 pbc="T T T"
Tl -3.8237 1.8478 2.1052
Tl -3.6196 -3.8570 5.2053
Hg -1.1971 0.7012 0.6291
Hg -4.2699 -1.8991 2.5545
Hg -3.1734 -0.1101 4.7560
Hg -6.2461 -2.7104 6.6814
Sn -1.0379 -1.1969 3.0081
Sn -6.4054 -0.8123 4.3024
```

Summary:
* magnetization: 0.0 μB per formula unit

Entry 4:
Compound: Tl8Sn3Hg2
Source: the Alexandria database
Functional: GGA-PBE
Structure: optimized geometry

```
13
Lattice="4.8928 0.0000 2.1645 0.0000 8.3241 0.0000 0.7228 -4.1620 10.2965" Properties=species:S:1:pos:R:3 pbc="T T T"
Tl 2.3800 2.3602 4.1245
Tl 2.3800 5.9639 4.1245
Tl 0.8384 4.1620 7.1827
Tl 3.2355 1.8018 8.3366
Tl 3.2355 -1.8018 8.3366
Tl 0.9091 4.1620 1.5862
Tl 4.7771 0.0000 5.2783
Tl 4.7065 0.0000 10.8748
Sn 0.0000 6.7311 0.0000
Sn 2.4464 0.0000 1.0823
Sn 0.0000 1.5929 0.0000
Hg 4.1356 4.1620 6.3694
Hg 1.4800 0.0000 6.0916
```

Summary:
* energy above the lowest structure with this stoichiometry: 0 kJ/mol of formula units
* magnetization: 0.0 μB per formula unit

Entry 5:
Compound: Tl2Sn3Hg
Source: the Alexandria database
Functional: GGA-PBE
Structure: optimized geometry

```
6
Lattice="5.5888 -0.2069 -3.0316 -3.5426 5.2803 -0.1901 -0.2818 0.1302 6.2815" Properties=species:S:1:pos:R:3 pbc="T T T"
Sn -0.1409 0.0651 3.1407
Sn 2.6535 -0.0383 1.6250
Sn 0.8822 2.6018 1.5299
Tl -1.0648 3.3652 4.6233
Tl 2.8292 1.8384 -1.5635
Hg 0.0000 0.0000 0.0000
```

Summary:
* magnetization: 0.0 μB per formula unit

Entry 6:
Compound: Tl5SnHg3
Source: the Alexandria database
Functional: GGA-PBE
Structure: optimized geometry

```
18
Lattice="6.5945 0.0000 0.0000 0.0000 9.6614 0.0000 0.0000 -4.8307 8.3670" Properties=species:S:1:pos:R:3 pbc="T T T"
Tl 3.2972 0.0000 5.5780
Tl 4.9459 6.7655 0.0000
Tl 1.6486 2.8959 0.0000
Tl 0.0000 4.8307 2.7890
Tl 1.6486 3.3828 5.8591
Tl 0.0000 0.0000 5.5780
Tl 4.9459 1.4479 2.5079
Tl 3.2972 4.8307 2.7890
Tl 1.6486 -1.4479 2.5079
Tl 4.9459 -3.3828 5.8591
Sn 0.0000 0.0000 0.0000
Sn 3.2972 0.0000 0.0000
Hg 4.9459 3.0686 5.3150
Hg 4.9459 3.5242 0.0000
Hg 4.9459 -1.7621 3.0520
Hg 1.6486 1.7621 3.0520
Hg 1.6486 6.1372 0.0000
Hg 1.6486 -3.0686 5.3150
```

Summary:
* magnetization: 0.0 μB per formula unit

Entry 7:
Compound: Tl12Sn2Hg
Source: the Alexandria database
Functional: GGA-PBE
Structure: optimized geometry

```
30
Lattice="-1.6248 4.3776 4.5197 1.4479 -4.2826 4.6684 22.9350 8.1438 0.3574" Properties=species:S:1:pos:R:3 pbc="T T T"
Tl 20.5772 7.3419 2.6184
Tl 13.5820 2.4526 4.1740
Tl 12.6253 5.2209 2.4872
Tl 18.0217 6.4781 4.8763
Tl 20.4862 7.3968 7.2123
Tl 4.7364 1.7607 4.6693
Tl 15.1621 5.3838 0.2363
Tl 18.1101 6.4306 0.2822
Tl 19.7636 9.5344 4.8743
Tl 9.6926 4.2584 7.0370
Tl 10.7124 1.4562 5.4458
Tl 2.9946 -1.2956 4.6634
Tl 15.0737 5.4313 4.8303
Tl 2.2693 0.8494 2.3330
Tl 4.8248 1.7132 0.0752
Tl 9.2014 5.7727 4.0554
Tl 21.2998 5.2044 4.9565
Tl 2.1835 0.8895 6.9272
Tl 7.6844 2.8075 4.7152
Tl 1.4581 3.0345 4.5969
Tl 7.7729 2.7600 0.1211
Tl 10.2212 2.9704 2.4642
Tl 12.9770 4.0279 7.1026
Tl 12.0203 6.7963 5.4158
Sn 3.9579 3.8826 2.3342
Sn 17.3523 8.6388 2.5429
Sn 18.8886 4.3087 2.6173
Sn 5.4943 -0.4474 2.4085
Hg -0.8124 2.1888 2.2599
Hg 0.7240 -2.1413 2.3342
```

Summary:
* magnetization: 0.0 μB per formula unit

Entry 8:
Compound: Tl17Sn11Hg
Source: the Alexandria database
Functional: GGA-PBE
Structure: optimized geometry

```
29
Lattice="9.8774 -0.0869 -3.4924 -4.9478 8.5492 -3.4924 -0.0069 -0.0119 10.4862" Properties=species:S:1:pos:R:3 pbc="T T T"
Tl 1.9681 3.3785 4.7117
Tl 8.2943 2.5947 1.6938
Tl -0.6000 5.8172 3.8011
Tl 4.3613 2.6298 7.2623
Tl 0.0047 0.0081 0.0071
Tl 3.3709 5.7866 -1.8246
Tl 0.0061 0.0105 3.7592
Tl 5.3562 2.3475 3.8011
Tl 3.5248 -0.0222 -1.2258
Tl 0.9704 8.4765 -2.2543
Tl -1.7580 3.0552 -1.2258
Tl 5.0399 3.3398 0.2971
Tl 0.4191 6.0315 0.2971
Tl 3.1701 5.4420 2.2393
Tl 0.1362 5.0910 7.2623
Tl 6.8948 5.0253 -2.2543
Tl -1.8343 8.4949 1.6938
Sn 3.1044 8.4583 0.3342
Sn -0.0173 3.0725 1.9337
Sn 0.9213 1.5816 7.3011
Sn 4.9041 5.3804 5.3922
Sn 7.1761 1.5175 -1.5335
Sn 2.2612 6.9200 5.3922
Sn -2.2197 6.9908 -1.5335
Sn 6.2853 -0.0607 6.3129
Sn 5.8263 6.8727 0.3342
Sn -3.1531 5.4374 6.3129
Sn 2.6812 1.5006 1.9337
Hg 1.8156 3.1167 -0.7155
```

Summary:
* magnetization: 0.0 μB per formula unit

Entry 9:
Compound: Tl2SnHg9
Source: the Alexandria database
Functional: GGA-PBE
Structure: optimized geometry

```
12
Lattice="-2.8623 -3.1182 2.2134 2.1997 -3.6069 -2.2368 9.7012 -0.9946 11.1436" Properties=species:S:1:pos:R:3 pbc="T T T"
Tl 5.3923 -3.9342 1.4305
Tl 6.5087 -0.6673 7.4763
Hg 8.9298 -6.0025 8.2447
Hg 9.2575 -2.6399 8.2520
Hg 2.8229 -3.6861 3.6111
Hg 3.4195 -2.0564 6.6785
Hg 0.1089 -1.7171 2.8754
Hg 6.2158 -4.0336 7.5090
Hg 2.6435 -1.9616 0.6548
Hg -0.3313 -3.3626 -0.0117
Hg 5.9505 -2.3007 4.4534
Sn 0.0000 0.0000 0.0000
```

Summary:
* magnetization: 0.0 μB per formula unit

Entry 10:
Compound: Tl7Sn2Hg2
Source: the Alexandria database
Functional: GGA-PBE
Structure: optimized geometry

```
11
Lattice="-1.7363 2.6138 1.5736 -8.8827 -0.2107 -5.5354 -7.8347 -5.4425 4.3110" Properties=species:S:1:pos:R:3 pbc="T T T"
Sn -8.4708 -2.2668 -1.6657
Sn -9.1020 -2.1430 1.3478
Tl -11.7854 -2.2958 -1.3594
Tl -5.5858 -2.2600 1.5062
Tl -12.5203 -2.5147 2.1090
Tl -8.8070 -3.6155 4.1191
Tl -11.9799 0.8498 -2.8832
Tl -7.2324 -0.1024 -3.8944
Tl -6.8976 0.4015 -0.4465
Hg -3.6901 0.2019 -0.4914
Hg -14.9267 -2.4268 -0.6921
```

Summary:
* magnetization: 0.0 μB per formula unit

Entry 11:
Compound: Tl2SnHg6
Source: the Alexandria database
Functional: GGA-PBE
Structure: optimized geometry

```
9
Lattice="7.1421 1.4382 0.0000 -1.1089 7.2006 0.0000 -3.0166 -4.3194 5.0320" Properties=species:S:1:pos:R:3 pbc="T T T"
Hg 4.3618 6.2455 0.0000
Hg 0.0000 0.0000 2.8817
Hg 4.7796 3.0882 0.0000
Hg 1.6715 2.3934 0.0000
Hg 1.2537 5.5507 0.0000
Hg 3.0166 4.3194 2.1503
Sn 0.0000 0.0000 0.0000
Tl 3.5711 0.7191 2.5160
Tl -0.5544 3.6003 2.5160
```

Summary:
* energy above the lowest structure with this stoichiometry: 14 kJ/mol of formula units
* magnetization: 0.0 μB per formula unit

Entry 12:
Compound: Tl3SnHg3
Source: the Alexandria database
Functional: GGA-PBE
Structure: optimized geometry

```
14
Lattice="-1.1527 -2.7081 -1.5107 9.8695 -6.4343 4.0037 -10.3175 0.5223 6.9363" Properties=species:S:1:pos:R:3 pbc="T T T"
Hg 2.6641 -7.6562 6.2582
Hg -1.3772 -3.8022 6.0555
Hg 4.3874 -5.9655 1.9125
Hg -0.2236 -4.8180 3.3738
Hg -4.2648 -0.9640 3.1711
Hg -5.9881 -2.6547 7.5168
Sn 2.2760 -6.1466 3.8482
Sn -3.8767 -2.4736 5.5811
Tl 6.1101 -7.8328 3.9454
Tl -1.2238 -1.8298 2.4028
Tl 1.0946 -3.8165 0.5726
Tl -2.6954 -4.8037 8.8567
Tl -0.3769 -6.7904 7.0265
Tl -7.7109 -0.7874 5.4839
```

Summary:
* energy above the lowest structure with this stoichiometry: 33 kJ/mol of formula units
* magnetization: 0.0 μB per formula unit

Energy relative to the elements readings, ordered: 0.051, 0.059, 0.058, 0.045, 0.050, 0.013, 0.127, 0.003, 0.009, 0.039, 0.045, 0.082 eV/atom
Energy readings, ordered: -3.23, -1.96, -1.68, -2.38, -2.79, -1.85, -2.32, -2.91, -0.95, -2.25, -1.13, -1.63 eV per atom